1.
AlPt2Br (PBE, relaxed); raw formation energy = -0.42 eV/f.u.; symmetry = Immm (71); energy above the lowest structure with this stoichiometry = 0.335 eV per atom; DFT total energy = -17.92 eV/cell; magnetization = 0.0 μB/f.u.
1.0
-1.8577 -2.5608 4.4520
-4.5049 -2.9606 -0.8774
5.3044 0.8146 -1.0143
Br Pt Al
1 2 1
Cartesian
-1.1909 -2.4534 -0.0523
-6.1901 -5.3718 3.4776
-3.3538 -2.9104 1.8842
0.1327 -2.2535 2.6125

---

2.
AlCdCl2 (PBE, relaxed); raw formation energy = -1.45 eV/f.u.; symmetry = C2/m (12); energy above the lowest structure with this stoichiometry = 0.323 eV per atom; DFT total energy = -9.80 eV/cell; magnetization = 0.0 μB/f.u.
1.0
-5.6351 2.4027 2.0075
3.3685 -7.5063 -2.3354
-0.6503 0.1114 3.0998
Cl Al Cd
2 1 1
Cartesian
0.0000 0.0000 0.0000
1.3591 -3.6975 0.3822
-1.1333 -2.5518 -0.1639
-3.1427 1.2570 2.5537

---

3.
Sr6As2PtN (PBE, relaxed); raw formation energy = -8.54 eV/f.u.; symmetry = P2_1/c (14); DFT total energy = -84.60 eV/cell; magnetization = 0.8 μB/f.u.
1.0
-0.5402 4.4021 5.7621
-6.6587 -3.7549 2.2443
5.7183 -6.6675 5.8106
Sr As Pt N
12 4 2 2
Cartesian
-4.2929 -1.6277 3.5802
-2.7263 -3.3370 9.7112
2.8123 -4.3926 10.2368
1.2458 -2.6833 4.1058
-2.3819 -4.1166 6.0558
-0.3586 -5.5684 12.0329
0.9013 -1.9037 7.7612
-1.1219 -0.4519 1.7842
-2.7743 0.2621 7.6184
-2.3764 -6.8129 8.5633
1.2937 -6.2824 6.1987
0.8958 0.7926 5.2538
-4.6562 -4.9374 3.6950
0.0794 -4.8597 8.7579
3.1757 -1.0829 10.1221
-1.5599 -1.1606 5.0592
-0.2701 2.2010 2.8811
-0.4702 -5.2112 4.0275
2.5891 -1.1327 5.7864
-3.3293 -1.8774 1.1222

---

4.
Tm2PaMn2 (PBE, relaxed); symmetry = Immm (71); DFT total energy = -37.18 eV/cell; magnetization = 0.0 μB/f.u.; energy relative to the elements = -80 meV per atom
1.0
3.6858 0.0000 1.5701
0.9070 4.8555 2.9821
-0.2719 0.4003 5.7495
Tm Pa Mn
2 1 2
Cartesian
3.2249 4.0031 5.2076
1.0960 1.2528 5.0941
2.2964 2.4278 2.2761
3.8314 1.2643 3.7840
0.4895 3.9916 6.5178

---

5.
KTm4Pb5 (PBE, relaxed); symmetry = P4/mmm (123); DFT total energy = -40.61 eV/cell; magnetization = 0.0 μB/f.u.; energy relative to the elements = -309 meV per atom
1.0
3.9754 0.0000 0.0000
0.0000 3.9754 0.0000
0.0000 0.0000 18.9255
K Tm Pb
1 4 5
Cartesian
0.0000 0.0000 0.0000
0.0000 0.0000 4.1427
0.0000 0.0000 7.6884
0.0000 0.0000 11.2371
0.0000 0.0000 14.7828
1.9877 1.9877 2.5045
1.9877 1.9877 5.9361
1.9877 1.9877 9.4627
1.9877 1.9877 12.9893
1.9877 1.9877 16.4210

---

6.
YAl2Os (PBE, relaxed); symmetry = P2/m (10); DFT total energy = -26.01 eV/cell; magnetization = 0.0 μB/f.u.; energy relative to the elements = -209 meV per atom
1.0
4.3829 0.0000 0.0000
0.0000 3.1459 0.0005
0.0000 1.2445 5.3933
Y Os Al
1 1 2
Cartesian
2.1915 3.2928 4.0453
2.1915 1.0976 1.3484
0.0000 0.3734 0.2189
0.0000 1.8218 2.4780

---

7.
Er2Cu2Ir (PBE, relaxed); symmetry = C2/m (12); DFT total energy = -28.57 eV/cell; magnetization = 0.0 μB/f.u.; energy relative to the elements = -478 meV per atom
1.0
5.4645 0.0690 2.9351
1.7381 3.9061 3.1857
0.6799 0.7844 5.2298
Er Cu Ir
2 2 1
Cartesian
5.8517 3.6659 8.6286
2.0309 1.0937 2.7219
2.8510 2.3661 5.0896
5.0315 2.3934 6.2609
0.0000 0.0000 0.0000

---

8.
PuMgAl2Pt2 (PBE, relaxed); symmetry = P-3m1 (164); DFT total energy = -40.29 eV/cell; magnetization = 5.5 μB/f.u.; energy relative to the elements = -799 meV per atom
1.0
-1.1110 -1.8924 -3.8294
4.2542 0.4612 1.0813
-0.1108 -5.9666 2.9807
Pu Mg Al Pt
1 1 2 2
Cartesian
0.0000 0.0000 0.0000
-0.0554 -2.9833 1.4904
2.3894 -4.4388 1.5003
0.6430 -2.9590 -1.2677
2.4345 -2.0072 0.2856
0.5979 -5.3906 -0.0530

---

9.
PrCd2Hg (PBE, relaxed); symmetry = Fm-3m (225); energy above the lowest structure with this stoichiometry = 0.082 eV per atom; DFT total energy = -8.00 eV/cell; magnetization = 0.0 μB/f.u.; energy relative to the elements = -273 meV per atom
1.0
-3.1662 2.3764 3.3728
0.5467 -0.8268 5.1054
1.8318 3.7812 3.0652
Pr Hg Cd
1 1 2
Cartesian
0.0000 0.0000 0.0000
-0.3938 2.6654 5.7717
-0.1969 1.3327 2.8859
-0.5908 3.9981 8.6576

---

10.
CuHgSe2 (PBE, relaxed); raw formation energy = 0.42 eV/f.u.; symmetry = Immm (71); DFT total energy = -10.95 eV/cell; magnetization = 0.0 μB/f.u.
1.0
6.3759 0.0273 -0.0086
3.7685 5.1430 0.0086
-4.8221 -3.0760 2.8176
Cu Hg Se
1 1 2
Cartesian
2.0094 2.3261 1.4131
3.3130 -0.2318 1.4045
0.9874 0.5032 0.0000
4.0848 2.0819 0.0000

---

11.
GaRhOF2 (PBE, relaxed); raw formation energy = -2.47 eV/f.u.; symmetry = P4/mmm (123); energy above the lowest structure with this stoichiometry = 0.528 eV per atom; DFT total energy = -21.55 eV/cell; magnetization = 0.0 μB/f.u.
1.0
-0.4249 2.1430 -3.1321
4.1622 -2.3867 -2.1976
-2.3089 -2.6473 -1.4980
Rh O Ga F
1 1 1 2
Cartesian
0.0000 0.0000 0.0000
0.7142 -1.4455 -3.4139
2.0811 -1.1934 -1.0988
-1.1545 -1.3236 -0.7490
-0.2125 1.0715 -1.5661

---

12.
K6Rb8Au (PBE, relaxed); symmetry = R-3 (148); DFT total energy = -17.81 eV/cell; magnetization = 0.0 μB/f.u.; energy relative to the elements = -14 meV per atom
1.0
-8.0542 -7.7140 -0.7140
4.3170 -10.2965 -0.4824
-1.3032 -5.3720 9.7123
K Rb Au
6 8 1
Cartesian
-2.2915 -6.7117 -0.2165
1.3135 -6.4133 2.7366
-2.9308 -5.0077 4.0839
-2.7490 -16.6707 8.7324
-6.3540 -16.9691 5.7794
-2.1096 -18.3748 4.4321
-2.0787 -9.6430 3.5120
-2.9618 -13.7394 5.0039
-2.7651 -7.9620 7.9441
-5.7809 -10.0241 0.4971
2.2653 -11.1494 2.1699
-2.2754 -15.4205 0.5718
0.7404 -13.3584 8.0188
-7.3058 -12.2331 6.3460
0.0000 0.0000 0.0000